# 1
Density functional theory data (GGA-PBE) for a relaxed CuTc2Rh crystal.

symmetry	P4mm, No. 99
VASP energy	-7.97	eV/atom
total magnetization	0.00	μB/f.u.
calculated volume	13.92	A^3/atom
DOS(E_F)	4.3	states/eV/cell
formation enthalpy at 0 K	0.08	eV per atom

a = 2.7467 Å, b = 2.7467 Å, c = 7.3827 Å
α = 90.00°, β = 90.00°, γ = 90.00°
Atoms (fractional coordinates):
Rh: 0.5000 0.5000 0.7457
Tc: 0.5000 0.5000 0.2525
Cu: 0.0000 0.0000 0.5023
Tc: 0.0000 0.0000 0.9995

---

# 2
Density functional theory data (GGA-PBE) for a relaxed CuTc2Rh crystal.

symmetry	P4mm, No. 99
VASP energy	-7.89	eV/atom
total magnetization	0.00	μB/f.u.
calculated volume	13.98	A^3/atom
DOS(E_F)	3.8	states/eV/cell
formation enthalpy at 0 K	0.15	eV per atom

a = 3.0791 Å, b = 3.0791 Å, c = 5.8990 Å
α = 90.00°, β = 90.00°, γ = 90.00°
Atoms (fractional coordinates):
Rh: 0.5000 0.5000 0.7274
Tc: 0.0000 0.0000 0.0161
Cu: 0.0000 0.0000 0.4995
Tc: 0.5000 0.5000 0.2570

---

# 3
Density functional theory data (GGA-PBE) for a relaxed CuTc2Rh crystal.

symmetry	I4/mmm, No. 139
VASP energy	-7.94	eV/atom
total magnetization	0.00	μB/f.u.
calculated volume	13.86	A^3/atom
DOS(E_F)	4.3	states/eV/cell
formation enthalpy at 0 K	0.11	eV per atom

a = 4.8498 Å, b = 4.8498 Å, c = 4.8506 Å
α = 135.41°, β = 135.42°, γ = 64.87°
Atoms (fractional coordinates):
Tc: 0.5000 0.5000 0.0000
Cu: 0.7500 0.2500 0.5000
Tc: 0.0000 0.0000 0.0000
Rh: 0.2500 0.7500 0.5000

---

# 4
Density functional theory data (GGA-PBE) for a relaxed Cu2TcRh crystal.

symmetry	Cmmm, No. 65
VASP energy	-6.23	eV/atom
total magnetization	0.07	μB/f.u.
calculated volume	13.57	A^3/atom
DOS(E_F)	4.5	states/eV/cell
formation enthalpy at 0 K	0.25	eV per atom

a = 2.6094 Å, b = 2.6094 Å, c = 8.8485 Å
α = 90.00°, β = 90.00°, γ = 115.69°
Site moments in Bohr magnetons follow the coordinates.
Atoms (fractional coordinates):
Tc: 0.5000 0.5000 0.7500  0.00
Rh: 0.5000 0.5000 0.2500  0.07
Cu: 0.0000 0.0000 0.0017  0.00
Cu: 0.0000 0.0000 0.4983  0.00

---

Copy entry 4 word for word.
Density functional theory data (GGA-PBE) for a relaxed Cu2TcRh crystal.

symmetry	Cmmm, No. 65
VASP energy	-6.23	eV/atom
total magnetization	0.07	μB/f.u.
calculated volume	13.57	A^3/atom
DOS(E_F)	4.5	states/eV/cell
formation enthalpy at 0 K	0.25	eV per atom

a = 2.6094 Å, b = 2.6094 Å, c = 8.8485 Å
α = 90.00°, β = 90.00°, γ = 115.69°
Site moments in Bohr magnetons follow the coordinates.
Atoms (fractional coordinates):
Tc: 0.5000 0.5000 0.7500  0.00
Rh: 0.5000 0.5000 0.2500  0.07
Cu: 0.0000 0.0000 0.0017  0.00
Cu: 0.0000 0.0000 0.4983  0.00

---

- Which of these has the highest calculated volume?
  number 2

---

- total magnetization of number 1 (CuTc2Rh)?
  0.00 μB/f.u.